{
  "formula": "Fe3MoS",
  "functional": "PBE",
  "state": "optimized geometry",
  "cell": [[4.099, 0.000, 0.000], [0.000, 4.099, 0.000], [0.000, 0.000, 4.099]],
  "species": ["Mo", "S", "Fe", "Fe", "Fe"],
  "frac_coords": [[0.500, 0.500, 0.500], [0.000, 0.000, 0.000], [0.500, 0.000, 0.000], [0.000, 0.000, 0.500], [0.000, 0.500, 0.000]],
  "total_magnetization_mub_per_cell": 5.7,
  "e_form_raw_ev_per_atom": 0.53,
  "spacegroup": "No. 221",
  "dos_ef_per_ev_cell": 5.855
}